A plane-wave DFT calculation with PBE-GGA was carried out for a relaxed Li2TlCuCl6 crystal.

The structure in POSCAR format:
```
Li2TlCuCl6
1.0
6.639 0.000 0.000
0.000 6.516 0.000
-6.252 0.000 10.377
Li Tl Cu Cl
4 2 2 12
direct
0.232 0.007 0.258
0.232 0.493 0.758
0.768 0.507 0.242
0.768 0.993 0.742
0.000 0.000 0.500
0.000 0.500 0.000
0.500 0.000 0.000
0.500 0.500 0.500
0.112 0.119 0.743
0.112 0.381 0.243
0.255 0.666 0.580
0.255 0.834 0.080
0.431 0.199 0.569
0.431 0.301 0.069
0.569 0.699 0.931
0.569 0.801 0.431
0.745 0.166 0.920
0.745 0.334 0.420
0.888 0.619 0.757
0.888 0.881 0.257
```

Properties
Symmetry ... P2_1/c, No. 14
Formation energy without anion corrections ... -1.03 eV per atom